Here is an optimized crystal structure of LiHgPb2 from the Alexandria database. Energies are from GGA-PBEsol.

a = 3.4984 Å, b = 5.4037 Å, c = 5.4037 Å
α = 104.36°, β = 90.00°, γ = 90.00°
With the nearest neighbours (Å) after each atom.
Atoms (fractional coordinates):
Pb (0.0000, 0.5000, 0.0000)  4 Li 3.22, 4 Hg 3.22, 4 Pb 3.31-3.50
Pb (0.0000, 0.0000, 0.5000)  4 Hg 3.22, 4 Li 3.22, 4 Pb 3.31-3.50
Hg (0.5000, 0.0000, 0.0000)  8 Pb 3.22, 2 Li 3.31, 2 Hg 3.50
Li (0.5000, 0.5000, 0.5000)  8 Pb 3.22, 2 Hg 3.31, 2 Li 3.50

Output
DOS(E_F): 0.422 states/eV/atom
ΔH_f (0 K): -0.127 eV/atom
Spin magnetization: 0.00 μB per formula unit

Here is an optimized crystal structure of LiBi3Cl2O4 from the Alexandria database. Energies are from GGA-PBEsol.

a = 5.4394 Å, b = 5.4343 Å, c = 6.5707 Å
α = 90.00°, β = 114.45°, γ = 90.00°
With the nearest neighbours (Å) after each atom.
Atoms (fractional coordinates):
Bi (0.1504, 0.0000, 0.3008)  4 O 2.23
Bi (0.3463, 0.5000, 0.6926)  4 O 2.26
Bi (0.8424, 0.0000, 0.6848)  4 O 2.24
Li (0.6978, 0.5000, 0.3956)  4 O 2.02
Cl (0.9827, 0.5000, 0.9654)  6 Bi 3.17-3.38, 1 Li 3.41, 4 O 3.42
Cl (0.4931, 0.0000, 0.9862)  6 Bi 3.24-3.31, 8 O 3.51-3.60
O (0.9993, 0.7512, 0.4936)  1 Li 2.02, 3 Bi 2.23-2.26
O (0.4944, 0.2488, 0.4936)  1 Li 2.02, 3 Bi 2.23-2.26
O (0.9993, 0.2488, 0.4936)  1 Li 2.02, 3 Bi 2.23-2.26
O (0.4944, 0.7512, 0.4936)  1 Li 2.02, 3 Bi 2.23-2.26

Output
DOS(E_F): 0.000 states/eV/atom
ΔE to the lowest computed polymorph: 0.04 eV per formula unit
Spin magnetization: 0.00 μB per formula unit

Here is an optimized crystal structure of Li2InAs from the Alexandria database. Energies are from GGA-PBEsol.

a = 4.8021 Å, b = 4.8021 Å, c = 4.8021 Å
α = 60.00°, β = 60.00°, γ = 60.00°
With the nearest neighbours (Å) after each atom.
Atoms (fractional coordinates):
As (0.5000, 0.5000, 0.5000)  4 Li 2.94, 4 In 2.94
Li (0.2500, 0.2500, 0.2500)  4 Li 2.94, 4 As 2.94
Li (0.0000, 0.0000, 0.0000)  4 In 2.94, 4 Li 2.94
In (0.7500, 0.7500, 0.7500)  4 As 2.94, 4 Li 2.94

Output
DOS(E_F): 0.275 states/eV/atom
ΔH_f (0 K): -0.255 eV/atom
Spin magnetization: 0.00 μB per formula unit

Here is an optimized crystal structure of YGeP2O from the Alexandria database. Energies are from GGA-PBEsol.

a = 4.0650 Å, b = 5.3057 Å, c = 5.3057 Å
α = 90.00°, β = 90.00°, γ = 90.00°
With the nearest neighbours (Å) after each atom.
Atoms (fractional coordinates):
P (0.0000, 0.5000, 0.0000)  2 Y 2.65
P (0.0000, 0.0000, 0.5000)  2 Y 2.65
O (0.5000, 0.0000, 0.0000)  2 Y 2.03
Ge (0.5000, 0.5000, 0.5000)  8 P 3.34
Y (0.0000, 0.0000, 0.0000)  2 O 2.03

Output
Final energy: -5.67 eV per atom
DOS(E_F): 1.140 states/eV/atom
Spin magnetization: 0.28 μB per formula unit

Here is an optimized crystal structure of ZnSi2Rh from the Alexandria database. Energies are from GGA-PBEsol.

a = 2.9846 Å, b = 4.2167 Å, c = 4.6561 Å
α = 90.00°, β = 100.90°, γ = 90.00°
With the nearest neighbours (Å) after each atom.
Atoms (fractional coordinates):
Si (0.1101, 0.0000, 0.7685)  2 Si 2.37-2.46, 2 Rh 2.44, 2 Zn 2.55
Si (0.8899, 0.0000, 0.2315)  2 Si 2.37-2.46, 2 Rh 2.44, 2 Zn 2.55
Zn (0.5000, 0.5000, 0.0000)  2 Rh 2.52, 4 Si 2.55
Rh (0.0000, 0.5000, 0.5000)  4 Si 2.44, 2 Zn 2.52

Output
Final energy: -5.47 eV per atom
DOS(E_F): 0.261 states/eV/atom
Spin magnetization: 0.00 μB per formula unit

Here is an optimized crystal structure of Li2ReW from the Alexandria database. Energies are from GGA-PBEsol.

a = 2.5253 Å, b = 5.0205 Å, c = 5.2274 Å
α = 118.70°, β = 90.00°, γ = 90.00°
With the nearest neighbours (Å) after each atom.
Atoms (fractional coordinates):
Re (0.5000, 0.0000, 0.0000)  2 W 2.51, 2 Re 2.53
Li (0.0000, 0.0000, 0.5000)  4 Li 2.51-2.53
Li (0.0000, 0.5000, 0.5000)  4 Li 2.51-2.53
W (0.5000, 0.5000, 0.0000)  2 Re 2.51, 2 W 2.53

Output
DOS(E_F): 0.378 states/eV/atom
ΔE to the lowest computed polymorph: 1.10 eV per formula unit
ΔH_f (0 K): 0.530 eV/atom
Spin magnetization: 0.00 μB per formula unit

Here is an optimized crystal structure of MgTl2In from the Alexandria database. Energies are from GGA-PBEsol.

a = 3.3715 Å, b = 4.4831 Å, c = 6.7678 Å
α = 90.00°, β = 90.00°, γ = 90.00°
With the nearest neighbours (Å) after each atom.
Atoms (fractional coordinates):
Tl (0.0000, 0.0000, 0.9872)  2 In 3.22-3.55, 4 Mg 3.25, 6 Tl 3.34-3.37
Tl (0.5000, 0.5000, 0.2557)  4 In 3.30, 2 Mg 3.32-3.45, 6 Tl 3.34-3.37
In (0.0000, 0.0000, 0.5116)  6 Tl 3.22-3.55, 4 Mg 3.22, 2 In 3.37
Mg (0.5000, 0.5000, 0.7455)  4 In 3.22, 6 Tl 3.25-3.45, 2 Mg 3.37

Output
DOS(E_F): 0.470 states/eV/atom
ΔH_f (0 K): -0.020 eV/atom
Spin magnetization: 0.00 μB per formula unit

Here is an optimized crystal structure of TcMo3 from the Alexandria database. Energies are from GGA-PBEsol.

a = 2.7019 Å, b = 4.3798 Å, c = 5.1461 Å
α = 90.00°, β = 100.26°, γ = 90.00°
With the nearest neighbours (Å) after each atom.
Atoms (fractional coordinates):
Tc (0.0000, 0.5000, 0.5000)  6 Mo 2.68-2.69, 2 Tc 2.70
Mo (0.7427, 0.0000, 0.7496)  6 Mo 2.67-2.70, 2 Tc 2.69
Mo (0.2573, 0.0000, 0.2504)  6 Mo 2.67-2.70, 2 Tc 2.69
Mo (0.5000, 0.5000, 0.0000)  6 Mo 2.68-2.70, 2 Tc 2.68

Output
DOS(E_F): 0.913 states/eV/atom
ΔE to the lowest computed polymorph: 0.08 eV per formula unit
ΔH_f (0 K): 0.055 eV/atom
Spin magnetization: 0.00 μB per formula unit